# 1
# In2SbCSe, relaxed, DFT PBE
# Mass density   5.22 g cm⁻³
# Raw total energy   -17.031 eV per formula unit
# Calculated volume   28.156 Å³/atom
# Formation energy from raw total energies   1.0553 eV per atom
data_In2SbCSe
_cell_length_a 5.836
_cell_length_b 5.836
_cell_length_c 4.133
_cell_angle_alpha 90.00
_cell_angle_beta 90.00
_cell_angle_gamma 90.00
_symmetry_space_group_name_H-M 'P 4/m m m'
_symmetry_Int_Tables_number 123
_symmetry_space_group_name_Hall '-P 4 2'
loop_
_atom_site_label
_atom_site_type_symbol
_atom_site_fract_x
_atom_site_fract_y
_atom_site_fract_z
In1 In 0.000 0.500 0.000
Sb1 Sb 0.000 0.000 0.000
C1 C 0.000 0.000 0.500
Se1 Se 0.500 0.500 0.500



# 2
# InSb2TeC, relaxed, DFT PBE
# Mass density   4.29 g cm⁻³
# Raw total energy   -13.120 eV per formula unit
# Calculated volume   38.548 Å³/atom
# Energy above the most stable polymorph in this dataset   1177 meV per atom
# Formation energy from raw total energies   2.0457 eV per atom
data_InSb2TeC
_cell_length_a 5.766
_cell_length_b 5.766
_cell_length_c 5.797
_cell_angle_alpha 90.00
_cell_angle_beta 90.00
_cell_angle_gamma 90.00
_symmetry_space_group_name_H-M 'P 4/m m m'
_symmetry_Int_Tables_number 123
_symmetry_space_group_name_Hall '-P 4 2'
loop_
_atom_site_label
_atom_site_type_symbol
_atom_site_fract_x
_atom_site_fract_y
_atom_site_fract_z
In1 In 0.000 0.000 0.000
Sb1 Sb 0.000 0.500 0.000
Te1 Te 0.000 0.000 0.500
C1 C 0.500 0.500 0.500



# 3
# InSb2TeC, relaxed, DFT PBE
# Mass density   7.09 g cm⁻³
# Raw total energy   -19.006 eV per formula unit
# Calculated volume   23.339 Å³/atom
# Energy above the most stable polymorph in this dataset   0 meV per atom
# Formation energy from raw total energies   0.8685 eV per atom
data_InSb2TeC
_cell_length_a 4.850
_cell_length_b 4.850
_cell_length_c 4.961
_cell_angle_alpha 90.00
_cell_angle_beta 90.00
_cell_angle_gamma 90.00
_symmetry_space_group_name_H-M 'P 4/m m m'
_symmetry_Int_Tables_number 123
_symmetry_space_group_name_Hall '-P 4 2'
loop_
_atom_site_label
_atom_site_type_symbol
_atom_site_fract_x
_atom_site_fract_y
_atom_site_fract_z
In1 In 0.000 0.000 0.000
Sb1 Sb 0.000 0.500 0.500
Te1 Te 0.500 0.500 0.000
C1 C 0.500 0.500 0.500



# 4
# ZnInSbC2, relaxed, DFT PBE
# Mass density   5.70 g cm⁻³
# Raw total energy   -16.557 eV per formula unit
# Calculated volume   18.999 Å³/atom
# Formation energy from raw total energies   2.0052 eV per atom
data_ZnInSbC2
_cell_length_a 4.126
_cell_length_b 4.126
_cell_length_c 5.580
_cell_angle_alpha 90.00
_cell_angle_beta 90.00
_cell_angle_gamma 90.00
_symmetry_space_group_name_H-M 'P 4/m m m'
_symmetry_Int_Tables_number 123
_symmetry_space_group_name_Hall '-P 4 2'
loop_
_atom_site_label
_atom_site_type_symbol
_atom_site_fract_x
_atom_site_fract_y
_atom_site_fract_z
Zn1 Zn 0.000 0.000 0.000
In1 In 0.500 0.500 0.500
Sb1 Sb 0.000 0.000 0.500
C1 C 0.000 0.500 0.000



# 5
# Sc12In3C5, relaxed, DFT PBE
# Formation enthalpy at 0 K   -0.226 eV/atom
# Mass density   3.85 g cm⁻³
# Raw total energy   -134.835 eV per formula unit
# Calculated volume   20.375 Å³/atom
data_Sc12In3C5
_cell_length_a 14.828
_cell_length_b 14.828
_cell_length_c 14.828
_cell_angle_alpha 90.00
_cell_angle_beta 90.00
_cell_angle_gamma 90.00
_symmetry_space_group_name_H-M 'I a -3 d'
_symmetry_Int_Tables_number 230
_symmetry_space_group_name_Hall '-I 4bd 2c 3'
loop_
_atom_site_label
_atom_site_type_symbol
_atom_site_fract_x
_atom_site_fract_y
_atom_site_fract_z
Sc1 Sc 0.036 0.050 0.647
In1 In 0.000 0.250 0.125
C1 C 0.000 0.000 0.000
C2 C 0.000 0.250 0.375



# 6
# Sc2InC, relaxed, DFT PBE
# Formation enthalpy at 0 K   -0.551 eV/atom
# Mass density   4.79 g cm⁻³
# Raw total energy   -26.831 eV per formula unit
# Calculated volume   18.772 Å³/atom
# Energy above the most stable polymorph in this dataset   0 meV per atom
data_Sc2InC
_cell_length_a 3.3508
_cell_length_b 3.3508
_cell_length_c 15.4449
_cell_angle_alpha 90.00
_cell_angle_beta 90.00
_cell_angle_gamma 120.00
_symmetry_space_group_name_H-M 'P 63/m m c'
_symmetry_Int_Tables_number 194
_symmetry_space_group_name_Hall '-P 6c 2c'
loop_
_atom_site_label
_atom_site_type_symbol
_atom_site_fract_x
_atom_site_fract_y
_atom_site_fract_z
Sc1 Sc 0.3333 0.6667 0.0795
In1 In 0.3333 0.6667 0.7500
C1 C 0.0000 0.0000 0.0000



# 7
# Sc4InC, relaxed, DFT PBE
# Formation enthalpy at 0 K   -0.347 eV/atom
# Mass density   4.15 g cm⁻³
# Raw total energy   -39.371 eV per formula unit
# Calculated volume   20.461 Å³/atom
data_Sc4InC
_cell_length_a 14.343
_cell_length_b 5.646
_cell_length_c 6.321
_cell_angle_alpha 90.00
_cell_angle_beta 106.40
_cell_angle_gamma 90.00
_symmetry_space_group_name_H-M 'C 1 2/c 1'
_symmetry_Int_Tables_number 15
loop_
_symmetry_equiv_pos_as_xyz
'x,y,z'
'-x,-y,-z'
'-x,y,-z+1/2'
'x,-y,z+1/2'
'x+1/2,y+1/2,z'
'-x+1/2,-y+1/2,-z'
'-x+1/2,y+1/2,-z+1/2'
'x+1/2,-y+1/2,z+1/2'
loop_
_atom_site_label
_atom_site_type_symbol
_atom_site_fract_x
_atom_site_fract_y
_atom_site_fract_z
Sc1 Sc 0.102 0.090 0.444
Sc2 Sc 0.196 0.431 0.163
In1 In 0.000 0.397 0.750
C1 C 0.250 0.250 0.500



# 8
# ScInC, relaxed, DFT PBE
# Formation enthalpy at 0 K   0.416 eV/atom
# Mass density   5.63 g cm⁻³
# Raw total energy   -17.045 eV per formula unit
# Calculated volume   16.900 Å³/atom
data_ScInC
_cell_length_a 4.190
_cell_length_b 4.190
_cell_length_c 11.549
_cell_angle_alpha 90.00
_cell_angle_beta 90.00
_cell_angle_gamma 90.00
_symmetry_space_group_name_H-M 'I 4/m m m'
_symmetry_Int_Tables_number 139
_symmetry_space_group_name_Hall '-I 4 2'
loop_
_atom_site_label
_atom_site_type_symbol
_atom_site_fract_x
_atom_site_fract_y
_atom_site_fract_z
Sc1 Sc 0.000 0.000 0.110
In1 In 0.000 0.000 0.372
C1 C 0.000 0.500 0.000



# 9
# Sc2InC, relaxed, DFT PBE
# Formation enthalpy at 0 K   -0.101 eV/atom
# Mass density   4.45 g cm⁻³
# Raw total energy   -25.028 eV per formula unit
# Calculated volume   20.230 Å³/atom
# Energy above the most stable polymorph in this dataset   451 meV per atom
data_Sc2InC
_cell_length_a 6.760
_cell_length_b 6.760
_cell_length_c 7.082
_cell_angle_alpha 90.00
_cell_angle_beta 90.00
_cell_angle_gamma 90.00
_symmetry_space_group_name_H-M 'I -4 2 d'
_symmetry_Int_Tables_number 122
_symmetry_space_group_name_Hall 'I -4 2bw'
loop_
_atom_site_label
_atom_site_type_symbol
_atom_site_fract_x
_atom_site_fract_y
_atom_site_fract_z
Sc1 Sc 0.152 0.250 0.125
In1 In 0.000 0.000 0.500
C1 C 0.000 0.000 0.000



# 10
# Sc2InC, relaxed, DFT PBE
# Formation enthalpy at 0 K   -0.549 eV/atom
# Mass density   4.80 g cm⁻³
# Raw total energy   -26.822 eV per formula unit
# Calculated volume   18.758 Å³/atom
# Energy above the most stable polymorph in this dataset   2 meV per atom
data_Sc2InC
_cell_length_a 5.802
_cell_length_b 3.353
_cell_length_c 7.954
_cell_angle_alpha 90.00
_cell_angle_beta 104.13
_cell_angle_gamma 90.00
_symmetry_space_group_name_H-M 'C 1 2/m 1'
_symmetry_Int_Tables_number 12
loop_
_symmetry_equiv_pos_as_xyz
'x,y,z'
'-x,-y,-z'
'-x,y,-z'
'x,-y,z'
'x+1/2,y+1/2,z'
'-x+1/2,-y+1/2,-z'
'-x+1/2,y+1/2,-z'
'x+1/2,-y+1/2,z'
loop_
_atom_site_label
_atom_site_type_symbol
_atom_site_fract_x
_atom_site_fract_y
_atom_site_fract_z
Sc1 Sc 0.220 0.000 0.159
In1 In 0.000 0.000 0.500
C1 C 0.000 0.500 0.000



# 11
# ScInC3, relaxed, DFT PBE
# Formation enthalpy at 0 K   2.392 eV/atom
# Mass density   4.25 g cm⁻³
# Raw total energy   -24.781 eV per formula unit
# Calculated volume   15.315 Å³/atom
# Energy above the most stable polymorph in this dataset   223 meV per atom
data_ScInC3
_cell_length_a 4.246
_cell_length_b 4.246
_cell_length_c 4.246
_cell_angle_alpha 90.00
_cell_angle_beta 90.00
_cell_angle_gamma 90.00
_symmetry_space_group_name_H-M 'P m -3 m'
_symmetry_Int_Tables_number 221
_symmetry_space_group_name_Hall '-P 4 2 3'
loop_
_atom_site_label
_atom_site_type_symbol
_atom_site_fract_x
_atom_site_fract_y
_atom_site_fract_z
Sc1 Sc 0.000 0.000 0.000
In1 In 0.500 0.500 0.500
C1 C 0.000 0.500 0.500



# 12
# Sc2InC, relaxed, DFT PBE
# Formation enthalpy at 0 K   0.608 eV/atom
# Mass density   4.96 g cm⁻³
# Raw total energy   -22.192 eV per formula unit
# Calculated volume   18.151 Å³/atom
# Energy above the most stable polymorph in this dataset   1160 meV per atom
data_Sc2InC
_cell_length_a 6.622
_cell_length_b 6.622
_cell_length_c 6.622
_cell_angle_alpha 90.00
_cell_angle_beta 90.00
_cell_angle_gamma 90.00
_symmetry_space_group_name_H-M 'F m -3 m'
_symmetry_Int_Tables_number 225
_symmetry_space_group_name_Hall '-F 4 2 3'
loop_
_atom_site_label
_atom_site_type_symbol
_atom_site_fract_x
_atom_site_fract_y
_atom_site_fract_z
Sc1 Sc 0.250 0.250 0.250
In1 In 0.000 0.000 0.000
C1 C 0.000 0.000 0.500



Question: What is the formula in the third record?
Answer: InSb2TeC